A plane-wave DFT calculation with PBE-GGA was carried out for a relaxed structure of La6Ni2Ru.

```
La6Ni2Ru
1.0
6.807 0.000 0.118
0.000 7.414 0.000
0.541 0.000 10.602
La Ni Ru
12 4 2
Cartesian
2.712 6.082 9.760
1.504 2.375 6.202
4.803 1.353 4.624
1.250 0.444 2.688
5.844 5.039 4.519
5.677 5.060 0.854
2.424 4.151 2.672
2.545 6.061 6.096
4.924 3.263 8.048
6.098 6.970 8.032
1.671 2.354 9.866
4.636 1.332 0.960
6.574 2.888 2.461
0.774 4.526 8.260
3.442 0.819 7.703
3.906 6.595 3.018
3.403 3.707 0.059
0.271 0.000 5.301
```

Calculated values
formation energy from the elements = -0.228 eV per atom
raw total energy = -5.83 eV/atom
spin magnetization = 0.000 μB/cell

---

A plane-wave DFT calculation with PBE-GGA was carried out for a relaxed structure of La8Ni2Ru.

```
La8Ni2Ru
1.0
-0.556 2.747 -6.812
-1.143 -6.841 -2.666
-6.145 -0.813 4.156
La Ru Ni
8 1 2
Cartesian
-4.348 -3.760 -1.162
-2.799 -0.511 0.023
-3.496 -1.146 -4.159
-6.103 -1.925 1.639
-5.045 -4.396 -5.344
-6.370 -0.603 -1.640
-1.474 -4.304 -3.681
-1.741 -2.982 -6.960
0.000 0.000 0.000
-6.069 -2.001 -4.294
-1.775 -2.906 -1.027
```

Calculated values
formation energy from the elements = -0.147 eV per atom
raw total energy = -5.63 eV/atom
spin magnetization = 0.000 μB/cell

---

A plane-wave DFT calculation with PBE-GGA was carried out for a relaxed structure of La3Ni2Ru.

```
La3Ni2Ru
1.0
4.372 0.000 0.000
0.000 11.162 0.000
0.000 0.000 11.641
Ru Ni La
4 8 12
Cartesian
1.093 4.331 7.689
3.279 9.912 9.772
1.093 1.250 1.869
3.279 6.831 3.952
3.279 5.310 2.067
1.093 10.892 3.754
3.279 2.203 0.331
3.279 3.378 6.152
1.093 7.784 5.489
1.093 5.852 9.574
1.093 8.959 11.310
3.279 0.271 7.887
1.093 7.901 2.556
1.093 8.842 8.377
3.279 7.014 11.018
1.093 4.149 0.623
3.279 10.505 1.263
3.279 6.238 7.084
3.279 3.261 9.085
3.279 2.320 3.264
3.279 9.730 5.198
1.093 0.657 10.378
1.093 4.924 4.557
1.093 1.432 6.443
```

Calculated values
formation energy from the elements = -0.257 eV per atom
raw total energy = -6.19 eV/atom
spin magnetization = 0.000 μB/cell

---

A plane-wave DFT calculation with PBE-GGA was carried out for a relaxed structure of La3NiRu.

```
La3NiRu
1.0
5.682 0.004 0.996
-2.776 6.530 -0.841
1.458 -3.455 8.285
Ru La Ni
2 6 2
Cartesian
2.740 4.585 1.192
1.623 -1.507 7.249
2.333 3.425 3.425
4.405 -1.528 8.103
-0.042 4.607 0.338
-0.991 2.372 5.662
2.030 -0.347 5.015
5.354 0.707 2.779
1.891 2.371 5.941
2.472 0.707 2.500
```

Calculated values
formation energy from the elements = -0.236 eV per atom
raw total energy = -6.20 eV/atom
ΔE to the lowest computed polymorph = 0.03 eV/f.u.
spin magnetization = 0.000 μB/cell

---

A plane-wave DFT calculation with PBE-GGA was carried out for a relaxed structure of LaNi2Ru2.

```
LaNi2Ru2
1.0
-2.303 -2.634 -2.246
-2.037 -1.150 3.437
-5.564 1.752 -0.197
Ru Ni La
2 2 1
Cartesian
-6.960 -0.971 0.580
-2.944 -1.061 0.415
-5.019 -1.387 -0.923
-4.886 -0.645 1.918
0.000 0.000 0.000
```

Calculated values
formation energy from the elements = 0.030 eV per atom
raw total energy = -6.98 eV/atom
ΔE to the lowest computed polymorph = 0.00 eV/f.u.
spin magnetization = 0.000 μB/cell

---

A plane-wave DFT calculation with PBE-GGA was carried out for a relaxed structure of LaNiRu.

```
LaNiRu
1.0
4.446 0.000 0.000
2.223 3.850 0.000
2.223 1.283 3.630
La Ru Ni
1 1 1
Cartesian
4.446 2.567 1.815
0.000 0.000 0.000
2.223 1.283 0.907
```

Calculated values
formation energy from the elements = 0.270 eV per atom
raw total energy = -6.39 eV/atom
spin magnetization = 1.048 μB/cell

---

A plane-wave DFT calculation with PBE-GGA was carried out for a relaxed structure of LaNiRu.

```
LaNiRu
1.0
4.443 0.000 0.000
2.221 3.847 0.000
2.221 1.282 3.627
Ru Ni La
1 1 1
Cartesian
4.443 2.565 1.814
0.000 0.000 0.000
2.221 1.282 0.907
```

Calculated values
formation energy from the elements = 0.676 eV per atom
raw total energy = -5.99 eV/atom
spin magnetization = 0.367 μB/cell

---

A plane-wave DFT calculation with PBE-GGA was carried out for a relaxed structure of LaNiRu3.

```
LaNiRu3
1.0
-3.202 2.635 1.942
-2.374 0.001 -3.915
-2.253 -3.745 1.365
Ru La Ni
3 1 1
Cartesian
-1.127 -1.872 0.683
-1.601 1.317 0.971
-1.187 0.000 -1.958
-3.914 -0.555 -0.304
0.000 0.000 0.000
```

Calculated values
formation energy from the elements = 0.697 eV per atom
raw total energy = -7.01 eV/atom
ΔE to the lowest computed polymorph = 0.00 eV/f.u.
spin magnetization = 3.762 μB/cell

---

A plane-wave DFT calculation with PBE-GGA was carried out for a relaxed structure of LaNi2Ru2.

```
LaNi2Ru2
1.0
-2.789 1.917 -1.846
-2.318 -0.437 3.048
-0.642 5.591 2.750
Ru La Ni
2 1 2
Cartesian
-2.992 4.124 0.752
-2.757 2.947 3.200
0.000 0.000 0.000
-2.142 1.784 1.063
-3.607 5.287 2.889
```

Calculated values
formation energy from the elements = 0.029 eV per atom
raw total energy = -6.98 eV/atom
ΔE to the lowest computed polymorph = 0.00 eV/f.u.
spin magnetization = 0.000 μB/cell

---

A plane-wave DFT calculation with PBE-GGA was carried out for a relaxed structure of LaNi2Ru2.

```
LaNi2Ru2
1.0
-0.432 4.627 -5.785
-6.107 3.057 2.902
1.615 1.899 1.398
Ru Ni La
4 4 2
Cartesian
-4.184 5.963 -3.266
-2.356 1.722 0.383
-5.520 4.426 0.364
-1.020 3.258 -3.247
-1.556 5.787 -3.140
-4.542 6.590 -0.782
-0.382 2.994 -0.703
-3.368 3.797 1.655
0.000 0.000 0.000
-3.270 3.842 -1.442
```

Calculated values
formation energy from the elements = 0.167 eV per atom
raw total energy = -6.84 eV/atom
ΔE to the lowest computed polymorph = 0.69 eV/f.u.
spin magnetization = 3.178 μB/cell

---

A plane-wave DFT calculation with PBE-GGA was carried out for a relaxed structure of La3Ni7Ru2.

```
La3Ni7Ru2
1.0
4.853 0.000 1.519
2.189 4.331 1.519
-0.169 -0.104 9.051
Ni Ru La
7 2 3
Cartesian
3.995 3.944 4.261
2.878 0.284 7.827
5.322 1.787 4.261
1.551 2.441 7.827
2.905 1.787 3.504
3.436 2.114 6.044
3.968 2.441 8.584
4.536 2.790 11.042
2.337 1.437 1.046
0.871 0.536 5.729
0.000 0.000 0.000
6.002 3.692 6.360
```

Calculated values
formation energy from the elements = -0.246 eV per atom
raw total energy = -6.40 eV/atom
spin magnetization = 0.000 μB/cell

---

A plane-wave DFT calculation with PBE-GGA was carried out for a relaxed structure of La2NiRu.

```
La2NiRu
1.0
4.082 0.000 0.000
0.000 6.069 0.169
0.000 -2.807 7.465
Ni La Ru
2 4 2
Cartesian
1.021 1.565 1.645
3.062 1.697 5.989
1.021 4.519 0.698
3.062 -1.257 6.936
3.062 0.131 3.295
1.021 3.131 4.340
1.021 0.113 5.410
3.062 3.150 2.225
```

Calculated values
formation energy from the elements = -0.286 eV per atom
raw total energy = -6.51 eV/atom
spin magnetization = 0.000 μB/cell